Below is BaGdAuSe3 after structural relaxation, with properties calculated at the PBEsol level.

Geometry as POSCAR:
```
BaGdAuSe3
1.0
2.1030 -7.0175 0.0000
2.1030 7.0175 0.0000
0.0000 0.0000 10.6207
Ba Gd Au Se
2 2 2 6
direct
0.2477 0.7523 0.7500 Ba
0.7523 0.2477 0.2500 Ba
0.0000 0.0000 0.0000 Gd
0.0000 0.0000 0.5000 Gd
0.4660 0.5340 0.2500 Au
0.5340 0.4660 0.7500 Au
0.0792 0.9208 0.2500 Se
0.3606 0.6394 0.0509 Se
0.3606 0.6394 0.4491 Se
0.6394 0.3606 0.5509 Se
0.6394 0.3606 0.9491 Se
0.9208 0.0792 0.7500 Se
```

magnetization = 7.00 μB per formula unit
SG = No. 63
formation energy from raw total energies = -1.53 eV per atom

=====

Below is BaBe2Co after structural relaxation, with properties calculated at the PBEsol level.

Geometry as POSCAR:
```
BaBe2Co
1.0
2.5919 -3.9627 0.0000
2.5919 3.9627 0.0000
-0.0086 0.0000 3.0882
Ba Be Co
1 2 1
direct
0.0000 0.0000 0.0000 Ba
0.0000 0.5000 0.5000 Be
0.5000 0.0000 0.5000 Be
0.5000 0.5000 0.0000 Co
```

calculated formation energy = 1.1262 eV per atom
magnetization = 0.00 μB per formula unit
SG = No. 12